1.
Below is a geometry-optimized Pr3Dy4Ga4 structure, with properties calculated at the PBE level.

Lattice parameters (Å, degrees): 9.356 9.356 9.356 149.62 132.33 57.58
Atoms (fractional coordinates):
Pr  0.000  0.000  0.000
Pr  0.393  0.893  0.500
Pr  0.607  0.107  0.500
Dy  0.042  0.327  0.716
Dy  0.389  0.673  0.716
Dy  0.611  0.327  0.284
Dy  0.958  0.673  0.284
Ga  0.198  0.198  0.000
Ga  0.319  0.500  0.819
Ga  0.681  0.500  0.181
Ga  0.802  0.802  0.000

Output
Size of the total moment ... 0.00 μB per cell
ΔE_f ... -0.381 eV/atom
Volume ... 27.63 A^3/atom
SG ... Immm, No. 71
Mass density ... 7.39 g/cm³

2.
Below is a geometry-optimized PrDy2Ga2 structure, with properties calculated at the PBE level.

Lattice parameters (Å, degrees): 6.596 6.596 5.851 102.22 102.22 33.59
Atoms (fractional coordinates):
Pr  0.000  0.000  0.000
Dy  0.361  0.361  0.431
Dy  0.639  0.639  0.569
Ga  0.292  0.292  0.887
Ga  0.708  0.708  0.113

Output
Size of the total moment ... 0.00 μB per cell
ΔE_f ... -0.381 eV/atom
Volume ... 27.46 A^3/atom
Polymorph energy (0 for the lowest one) ... 0.067 eV/atom
SG ... C2/m, No. 12
Mass density ... 7.32 g/cm³

3.
Below is a geometry-optimized PrDyGa6 structure, with properties calculated at the PBE level.

Lattice parameters (Å, degrees): 6.384 6.384 4.604 90.00 90.00 120.00
Atoms (fractional coordinates):
Pr  0.000  0.000  0.000
Dy  0.667  0.333  0.500
Ga  0.041  0.521  0.000
Ga  0.191  0.381  0.500
Ga  0.191  0.809  0.500
Ga  0.479  0.521  0.000
Ga  0.479  0.959  0.000
Ga  0.619  0.809  0.500

Output
Size of the total moment ... 0.00 μB per cell
ΔE_f ... -0.550 eV/atom
Volume ... 20.32 A^3/atom
SG ... P-6m2, No. 187
Mass density ... 7.37 g/cm³